Computed, not measured: an optimized crystal structure of Sr2LiCdPt at the PBE-GGA level of DFT.

Output
formation energy	0.21	eV per atom
volume	33.9	A^3/atom
N(E_F)	0.6666	states/eV per atom

Geometry as POSCAR:
```
Sr2LiCdPt
1.0
6.0188 0.0000 0.0000
0.0000 6.0188 0.0000
0.0000 0.0000 4.6780
Sr Li Cd Pt
2 1 1 1
direct
0.0000 0.5000 0.0000
0.5000 0.0000 0.0000
0.0000 0.0000 0.5000
0.0000 0.0000 0.0000
0.5000 0.5000 0.5000
```

Computed, not measured: an optimized crystal structure of LiTbCdPt at the PBE-GGA level of DFT.

Output
formation energy	-0.62	eV per atom
volume	19.7	A^3/atom
N(E_F)	1.0464	states/eV per atom

Geometry as POSCAR:
```
LiTbCdPt
1.0
0.0000 3.4023 3.4023
3.4023 0.0000 3.4023
3.4023 3.4023 0.0000
Li Tb Cd Pt
1 1 1 1
direct
0.0000 0.0000 0.0000
0.2500 0.2500 0.2500
0.7500 0.7500 0.7500
0.5000 0.5000 0.5000
```

Computed, not measured: an optimized crystal structure of LiTl2CdPt at the PBE-GGA level of DFT.

Output
formation energy	-0.06	eV per atom
volume	27.6	A^3/atom
N(E_F)	0.4448	states/eV per atom

Geometry as POSCAR:
```
LiTl2CdPt
1.0
5.3149 0.0000 0.0000
0.0000 5.3149 0.0000
0.0000 0.0000 4.8797
Li Tl Cd Pt
1 2 1 1
direct
0.0000 0.0000 0.0000
0.0000 0.5000 0.5000
0.5000 0.0000 0.5000
0.5000 0.5000 0.0000
0.0000 0.0000 0.5000
```

Computed, not measured: an optimized crystal structure of LiVCdPt at the PBE-GGA level of DFT.

Output
formation energy	-0.20	eV per atom
volume	15.3	A^3/atom
N(E_F)	0.0188	states/eV per atom

Geometry as POSCAR:
```
LiVCdPt
1.0
0.0000 3.1294 3.1294
3.1294 0.0000 3.1294
3.1294 3.1294 0.0000
Li V Cd Pt
1 1 1 1
direct
0.0000 0.0000 0.0000
0.2500 0.2500 0.2500
0.7500 0.7500 0.7500
0.5000 0.5000 0.5000
```

Computed, not measured: an optimized crystal structure of LiYCdPt at the PBE-GGA level of DFT.

Output
formation energy	-0.63	eV per atom
volume	19.7	A^3/atom
N(E_F)	1.0988	states/eV per atom

Geometry as POSCAR:
```
LiYCdPt
1.0
0.0000 3.4006 3.4006
3.4006 0.0000 3.4006
3.4006 3.4006 0.0000
Li Y Cd Pt
1 1 1 1
direct
0.0000 0.0000 0.0000
0.7500 0.7500 0.7500
0.2500 0.2500 0.2500
0.5000 0.5000 0.5000
```

Computed, not measured: an optimized crystal structure of Li2Zn2CdPt2 at the PBE-GGA level of DFT.

Output
formation energy	-0.45	eV per atom
volume	16.0	A^3/atom
N(E_F)	0.2716	states/eV per atom

Geometry as POSCAR:
```
Li2Zn2CdPt2
1.0
3.8090 -2.2006 0.0000
3.8090 2.2006 0.0000
-2.5453 0.0000 6.6789
Li Zn Cd Pt
2 2 1 2
direct
0.1400 0.1400 0.4173
0.8600 0.8600 0.5827
0.4189 0.4189 0.2507
0.5811 0.5811 0.7493
0.0000 0.0000 0.0000
0.2658 0.2658 0.8046
0.7342 0.7342 0.1954
```

Computed, not measured: an optimized crystal structure of Li2PuCd2 at the PBE-GGA level of DFT.

Output
formation energy	0.00	eV per atom
volume	23.3	A^3/atom
N(E_F)	2.2518	states/eV per atom

Geometry as POSCAR:
```
Li2PuCd2
1.0
-2.0210 2.0210 7.1374
2.0210 -2.0210 7.1374
2.0210 2.0210 -7.1374
Li Pu Cd
2 1 2
direct
0.2500 0.7500 0.5000
0.7500 0.2500 0.5000
0.0000 0.0000 0.0000
0.3894 0.3894 0.0000
0.6106 0.6106 0.0000
```

Computed, not measured: an optimized crystal structure of LiPu2Cd6 at the PBE-GGA level of DFT.

Output
formation energy	-0.13	eV per atom
volume	23.2	A^3/atom
N(E_F)	1.8515	states/eV per atom

Geometry as POSCAR:
```
LiPu2Cd6
1.0
8.8763 0.0000 0.0000
-4.4382 7.6871 0.0000
0.0000 0.0000 3.0574
Li Pu Cd
1 2 6
direct
0.0000 0.0000 0.0000
0.3333 0.6667 0.0000
0.6667 0.3333 0.0000
0.0000 0.3263 0.5000
0.0000 0.6737 0.5000
0.3263 0.0000 0.5000
0.3263 0.3263 0.5000
0.6737 0.0000 0.5000
0.6737 0.6737 0.5000
```

Which formula does entry 6 have? Li2Zn2CdPt2

Which of these has the highest volume? Sr2LiCdPt